No. 1
The following is a DFT calculation (PBE-GGA) of a geometry-optimized RbInSi structure.

## Properties
Formation energy from raw total energies ... 0.00 eV per atom
Fermi-level density of states ... 0.0 states/eV per cell
Calculated total energy ... -0.223 Ry per atom

Cell: 4.5200 4.5200 11.6453 Å, 90.00 90.00 120.00°
With the nearest neighbours (Å) after each atom.
Space group P6_3/mmc (No. 194)
Symmetry-distinct sites (fractional):
Rb1 0.0000 0.0000 0.0000 (multiplicity 2)  6 Si 3.91, 6 In 3.91
In1 0.3333 0.6667 0.2500 (multiplicity 2)  3 Si 2.61
Si1 0.3333 0.6667 0.7500 (multiplicity 2)  3 In 2.61

***

No. 2
The following is a DFT calculation (PBE-GGA) of a geometry-optimized Hf3WC structure.

## Properties
Fermi-level density of states ... 7.3 states/eV per cell
Distance to the lowest polymorph of the same formula ... 2.314 eV/atom
Calculated total energy ... -0.606 Ry per atom
Energy of formation ... 2157 meV per atom

Cell: 5.0220 5.0220 5.0220 Å, 90.00 90.00 90.00°
With the nearest neighbours (Å) after each atom.
Space group Pm-3m (No. 221)
Symmetry-distinct sites (fractional):
Hf1 0.0000 0.0000 0.5000 (multiplicity 3)  2 W 2.51
W1 0.0000 0.0000 0.0000 (multiplicity 1)  6 Hf 2.51
C1 0.5000 0.5000 0.5000 (multiplicity 1)  12 Hf 3.55